# NiPt5

An optimized crystal structure of NiPt5 (GGA-PBEsol, the Alexandria database).

Unit cell a=2.7130 b=4.5615 c=7.1385 alpha=90.00 beta=100.95 gamma=90.00
Each line ends with the local moment (μB).
Sites, in units of the cell vectors:
Pt 0.1100 0.5000 0.2200  0.20
Pt 0.3394 0.0000 0.6788  0.26
Pt 0.7779 0.5000 0.5558  0.15
Pt 0.4462 0.5000 0.8925  0.21
Pt 0.6600 0.0000 0.3199  0.27
Ni 0.9998 0.0000 0.9996  0.84

Calculated values
Total energy ... -40.72 eV per cell
Energy relative to the elements ... 0.04 eV per atom
Spin magnetization ... 1.92 μB per cell

# Ni3Pt4

An optimized crystal structure of Ni3Pt4 (GGA-PBEsol, the Alexandria database).

Unit cell a=4.5978 b=4.5978 c=4.5978 alpha=99.64 beta=99.64 gamma=99.64
Each line ends with the local moment (μB).
Sites, in units of the cell vectors:
Ni 0.9983 0.5720 0.7161  0.74
Ni 0.5720 0.7161 0.9983  0.74
Ni 0.7161 0.9983 0.5720  0.74
Pt 0.8511 0.2814 0.1387  0.29
Pt 0.4425 0.4425 0.4425  0.29
Pt 0.2814 0.1387 0.8511  0.29
Pt 0.1387 0.8511 0.2814  0.29

Calculated values
Total energy ... -46.64 eV per cell
Energy relative to the elements ... -0.05 eV per atom
Spin magnetization ... 3.33 μB per cell

# NiPt2

An optimized crystal structure of NiPt2 (GGA-PBEsol, the Alexandria database).

Unit cell a=2.6972 b=4.4715 c=6.9791 alpha=90.00 beta=101.14 gamma=90.00
Each line ends with the local moment (μB).
Sites, in units of the cell vectors:
Pt 0.3776 0.7500 0.7552  0.36
Pt 0.6224 0.2500 0.2448  0.36
Pt 0.0591 0.7500 0.1183  0.30
Pt 0.9409 0.2500 0.8817  0.30
Ni 0.7208 0.7500 0.4416  0.85
Ni 0.2792 0.2500 0.5584  0.85

Calculated values
Total energy ... -40.01 eV per cell
Energy relative to the elements ... 0.03 eV per atom
Spin magnetization ... 2.98 μB per cell

# NiPt

An optimized crystal structure of NiPt (GGA-PBEsol, the Alexandria database).

Unit cell a=4.5400 b=5.2693 c=6.9525 alpha=68.39 beta=89.77 gamma=89.70
Each line ends with the local moment (μB).
Sites, in units of the cell vectors:
Ni 0.0021 0.7452 0.4986  0.74
Ni 0.3361 0.9143 0.1657  0.74
Ni 0.1680 0.3383 0.8300  0.68
Ni 0.8320 0.6617 0.1700  0.68
Ni 0.9979 0.2548 0.5014  0.74
Ni 0.6639 0.0857 0.8343  0.74
Pt 0.8407 0.1458 0.1648  0.34
Pt 0.3257 0.4199 0.1661  0.27
Pt 0.1593 0.8542 0.8352  0.34
Pt 0.5000 0.5000 0.5000  0.31
Pt 0.5000 0.0000 0.5000  0.25
Pt 0.6743 0.5801 0.8339  0.27

Calculated values
Total energy ... -79.31 eV per cell
Energy relative to the elements ... -0.05 eV per atom
Spin magnetization ... 5.99 μB per cell

# NiPt2

An optimized crystal structure of NiPt2 (GGA-PBEsol, the Alexandria database).

Unit cell a=3.7761 b=6.0267 c=7.5703 alpha=108.25 beta=90.00 gamma=90.00
Each line ends with the local moment (μB).
Sites, in units of the cell vectors:
Pt 0.0000 0.9962 0.4928  0.25
Pt 0.0000 0.3306 0.8458  0.20
Pt 0.5000 0.0026 0.7598  0.24
Pt 0.0000 0.6683 0.6627  0.16
Pt 0.0000 0.3226 0.3157  0.31
Pt 0.5000 0.6753 0.9274  0.24
Pt 0.5000 0.3343 0.5754  0.20
Pt 0.0000 0.6722 0.1727  0.28
Ni 0.5000 0.6651 0.4093  0.63
Ni 0.5000 0.3309 0.0883  0.71
Ni 0.0000 0.0008 0.0053  0.73
Ni 0.5000 0.0011 0.2450  0.80

Calculated values
Total energy ... -80.78 eV per cell
Energy relative to the elements ... -0.04 eV per atom
Spin magnetization ... 4.68 μB per cell

# NiPt

An optimized crystal structure of NiPt (GGA-PBEsol, the Alexandria database).

Unit cell a=4.5721 b=5.8859 c=6.4352 alpha=111.18 beta=90.43 gamma=104.95
Each line ends with the local moment (μB).
Sites, in units of the cell vectors:
Pt 0.4940 0.4964 0.4828  0.32
Pt 0.0731 0.7465 0.5771  0.31
Pt 0.8360 0.4985 0.8446  0.29
Pt 0.4310 0.7636 0.9210  0.28
Pt 0.2473 0.2452 0.7606  0.28
Pt 0.3329 0.9969 0.3289  0.32
Ni 0.9123 0.2437 0.4088  0.75
Ni 0.6689 0.0002 0.6649  0.70
Ni 0.7491 0.7527 0.2496  0.78
Ni 0.5940 0.2509 0.0861  0.74
Ni 0.1609 0.4946 0.1669  0.74
Ni 0.0005 0.0108 0.0087  0.76

Calculated values
Total energy ... -79.14 eV per cell
Energy relative to the elements ... -0.03 eV per atom
Spin magnetization ... 6.16 μB per cell

- Among the records above, which one has the lowest spin magnetization?
  NiPt5

- The highest total energy belongs to which entry?
  number 3

- Which value of total energy does entry 4 give?
  -79.31 eV per cell

- Which of these has the lowest total energy?
  number 5